(1)
Material: Y3FeRh
Method: DFT, GGA-PBE
State: relaxed

Computed properties:
The value obtained for the energy above the most stable polymorph in this dataset is 0.0 meV/atom.

Cell lengths 5.004, 5.004, 5.004 Å; angles 90.00, 90.00, 90.00 degrees
Element x y z (fractional)
Fe1 0.000 0.000 0.000
Y1 0.000 0.000 0.500
Y2 0.500 0.000 0.000
Y3 0.000 0.500 0.000
Rh1 0.500 0.500 0.500

(2)
Material: NdTmGeRh
Method: DFT, GGA-PBE
State: relaxed

Cell lengths 5.008, 5.008, 5.008 Å; angles 60.00, 60.00, 60.00 degrees
Element x y z (fractional)
Ge1 0.250 0.250 0.250
Tm1 0.000 0.000 0.000
Rh1 0.750 0.750 0.750
Nd1 0.500 0.500 0.500

(3)
Material: Cs2Tl3CdAu4
Method: DFT, GGA-PBE
State: relaxed

Cell lengths 5.218, 5.218, 11.558 Å; angles 90.00, 90.00, 90.00 degrees
Element x y z (fractional)
Au1 0.500 0.500 0.000
Cs1 0.000 0.500 0.759
Tl1 0.000 0.500 0.119
Au2 0.500 0.000 0.622
Tl2 0.000 0.000 0.500
Au3 0.000 0.000 0.000
Cs2 0.500 0.000 0.241
Tl3 0.500 0.000 0.881
Cd1 0.500 0.500 0.500
Au4 0.000 0.500 0.378

no.,spin magnetization (μB/f.u.),formation energy (eV per atom)
1,0.00,0.1828
2,0.00,-0.6680
3,0.00,-0.1742